This record from the Alexandria database describes a relaxed AcScSbAu crystal. The functional is PBE.

## Properties
SG = F-43m (216)
uncorrected formation energy = -635 meV/atom
calculated total energy = -5.095 eV/atom
total magnetization = 1.36 μB per formula unit

Cell lengths 5.372, 5.372, 5.372 Å; angles 60.00, 60.00, 60.00 degrees
Fractional positions:
Ac  0.000  0.000  0.000
Sc  0.500  0.500  0.500
Sb  0.750  0.750  0.750
Au  0.250  0.250  0.250